A plane-wave DFT calculation with PBE was carried out for a relaxed structure of RbCa2Pd2.

Geometry as POSCAR:
```
RbCa2Pd2
1.0
-0.522 -8.247 -2.317
2.321 -2.371 7.915
-3.634 -0.064 1.047
Pd Ca Rb
4 4 2
Direct
0.371 0.871 0.000
0.129 0.371 0.000
0.629 0.129 0.000
0.871 0.629 0.000
0.354 0.146 0.500
0.854 0.354 0.500
0.146 0.646 0.500
0.646 0.854 0.500
0.500 0.500 0.000
0.000 0.000 0.000
```

Results
Symmetry: No. 127
Formation energy from the elements, meV per atom: -323